(1)
# Cd2IrOs

A relaxed Cd2IrOs crystal (PBE, Alexandria via LeMat-Bulk).

Cell: 3.989 3.989 4.314 Å, 90.00 90.00 90.00°
Fractional coordinates of all 4 atoms:
Cd1 0.000 0.500 0.000
Cd2 0.500 0.000 0.000
Ir1 0.000 0.000 0.500
Os1 0.500 0.500 0.500

Summary:
Calculated formation energy (eV/atom): 0.616
Spin magnetization (μB per cell): 1.557
ΔE to the lowest computed polymorph (meV/atom): 435.6
Theoretical density (g cm⁻³): 14.7


(2)
# Cd2IrOs

A relaxed Cd2IrOs crystal (PBE, Alexandria via LeMat-Bulk).

Cell: 6.164 6.164 6.164 Å, 153.74 134.24 53.53°
Fractional coordinates of all 4 atoms:
Cd1 0.000 0.000 0.000
Cd2 0.686 0.186 0.500
Ir1 0.248 0.748 0.500
Os1 0.438 0.438 0.000

Summary:
Calculated formation energy (eV/atom): 0.434
Spin magnetization (μB per cell): 0.000
ΔE to the lowest computed polymorph (meV/atom): 253.0
Theoretical density (g cm⁻³): 13.6


(3)
# Cd2IrOs

A relaxed Cd2IrOs crystal (PBE, Alexandria via LeMat-Bulk).

Cell: 5.163 5.163 5.163 Å, 134.59 134.59 66.17°
Fractional coordinates of all 4 atoms:
Cd1 0.250 0.750 0.500
Cd2 0.750 0.250 0.500
Ir1 0.000 0.000 0.000
Os1 0.500 0.500 0.000

Summary:
Calculated formation energy (eV/atom): 0.621
Spin magnetization (μB per cell): 1.616
ΔE to the lowest computed polymorph (meV/atom): 440.5
Theoretical density (g cm⁻³): 14.7


(4)
# Cd2IrOs

A relaxed Cd2IrOs crystal (PBE, Alexandria via LeMat-Bulk).

Cell: 2.884 4.832 4.859 Å, 90.00 90.00 90.00°
Fractional coordinates of all 4 atoms:
Cd1 0.000 0.000 0.000
Cd2 0.500 0.500 0.000
Ir1 0.000 0.500 0.500
Os1 0.500 0.000 0.500

Summary:
Calculated formation energy (eV/atom): 0.522
Spin magnetization (μB per cell): 0.001
ΔE to the lowest computed polymorph (meV/atom): 341.0
Theoretical density (g cm⁻³): 14.9


(5)
# Cd2IrOs

A relaxed Cd2IrOs crystal (PBE, Alexandria via LeMat-Bulk).

Cell: 4.938 4.938 5.140 Å, 99.69 99.69 33.63°
Fractional coordinates of all 4 atoms:
Cd1 0.000 0.000 0.000
Cd2 0.237 0.237 0.760
Ir1 0.755 0.755 0.288
Os1 0.483 0.483 0.475

Summary:
Calculated formation energy (eV/atom): 0.424
Spin magnetization (μB per cell): 0.003
ΔE to the lowest computed polymorph (meV/atom): 243.6
Theoretical density (g cm⁻³): 14.8


(6)
# Cd4IrOs

A relaxed Cd4IrOs crystal (PBE, Alexandria via LeMat-Bulk).

Cell: 5.389 5.389 5.389 Å, 60.00 60.00 60.00°
Fractional coordinates of all 6 atoms:
Cd1 0.125 0.125 0.125
Cd2 0.125 0.125 0.625
Cd3 0.125 0.625 0.125
Cd4 0.625 0.125 0.125
Ir1 0.750 0.750 0.750
Os1 0.500 0.500 0.500

Summary:
Calculated formation energy (eV/atom): 0.876
Spin magnetization (μB per cell): 0.554
Theoretical density (g cm⁻³): 12.5


- theoretical density of number 3 (Cd2IrOs)?
  14.7 g cm⁻³


- Look up the theoretical density of the sixth one.
  12.5 g cm⁻³


- The lowest calculated formation energy belongs to which entry?
  number 5